## P
MgAg4Au (PBE, relaxed); space group = No. 216; density = 9.4 g/cm³; calculated volume = 19.284 Å³ per atom
1.0
0.000 3.868 3.868
3.868 0.000 3.868
3.868 3.868 0.000
Mg Ag Au
1 4 1
Direct
0.000 0.000 0.000
0.875 0.375 0.375
0.375 0.375 0.875
0.375 0.875 0.375
0.375 0.375 0.375
0.750 0.750 0.750



## Q
MgAg4Au (PBE, relaxed); space group = No. 12; density = 10.1 g/cm³; calculated volume = 17.915 Å³ per atom
1.0
4.231 0.000 0.000
-2.116 4.400 -1.502
0.000 -0.093 5.805
Mg Ag Au
1 4 1
Direct
0.000 0.000 0.500
0.334 0.667 0.169
0.666 0.333 0.831
0.334 0.668 0.667
0.666 0.332 0.333
0.000 0.000 0.000



## R
MgAg4Au (PBE, relaxed); space group = No. 36; density = 9.0 g/cm³; calculated volume = 20.044 Å³ per atom
1.0
-4.064 1.931 -1.330
-1.790 -0.581 4.625
5.607 8.315 3.214
Mg Ag Au
2 8 2
Direct
0.830 0.633 0.661
0.170 0.133 0.339
0.904 0.163 0.808
0.096 0.663 0.192
0.469 0.999 0.937
0.531 0.499 0.063
0.673 0.539 0.346
0.327 0.039 0.654
0.750 0.077 0.499
0.250 0.577 0.501
0.604 0.022 0.208
0.396 0.522 0.792



The relative energies come out as P 156; Q 0; R 127, with values in meV per atom.



## P
Mg2Ag2Au7 (PBE, relaxed); space group = No. 12; density = 12.7 g/cm³; calculated volume = 19.498 Å³ per atom
1.0
-4.067 -5.147 -0.229
3.931 -2.331 2.273
-1.305 1.869 6.156
Mg Ag Au
2 2 7
Direct
0.793 0.500 0.793
0.207 0.500 0.207
0.760 0.260 0.240
0.240 0.740 0.760
0.046 0.241 0.598
0.598 0.759 0.046
0.954 0.759 0.402
0.402 0.241 0.954
0.000 0.000 0.000
0.534 0.764 0.466
0.466 0.236 0.534



## Q
Mg2Ag2Au7 (PBE, relaxed); space group = No. 44; density = 13.4 g/cm³; calculated volume = 18.469 Å³ per atom
1.0
4.279 0.000 -1.306
-1.044 5.963 -3.420
0.017 0.377 7.720
Mg Ag Au
2 2 7
Direct
0.298 0.920 0.595
0.702 0.325 0.405
0.000 0.621 0.000
0.500 0.329 0.000
0.143 0.060 0.287
0.146 0.479 0.292
0.500 0.917 0.000
0.339 0.461 0.679
0.661 0.782 0.321
0.857 0.773 0.713
0.854 0.187 0.708



The relative energies come out as P 71; Q 0, with values in meV per atom.



## P
Mg2Ag6Au (PBE, relaxed); space group = No. 15; density = 9.0 g/cm³; calculated volume = 18.219 Å³ per atom
1.0
7.280 0.120 0.563
2.837 6.260 3.086
-0.048 0.120 7.302
Mg Ag Au
4 12 2
Direct
0.418 0.930 0.214
0.786 0.570 0.582
0.582 0.070 0.786
0.214 0.430 0.418
0.420 0.528 0.673
0.327 0.972 0.580
0.580 0.472 0.327
0.673 0.028 0.420
0.919 0.141 0.623
0.377 0.359 0.081
0.081 0.859 0.377
0.623 0.641 0.919
0.203 0.811 0.008
0.992 0.689 0.797
0.797 0.189 0.992
0.008 0.311 0.203
0.829 0.750 0.171
0.171 0.250 0.829



## Q
Mg2Ag6Au (PBE, relaxed); space group = No. 12; density = 8.9 g/cm³; calculated volume = 18.512 Å³ per atom
1.0
-0.192 -2.604 -1.284
0.991 -3.754 7.464
-7.130 3.398 -2.086
Mg Ag Au
2 6 1
Direct
0.182 0.657 0.314
0.818 0.343 0.686
0.155 0.344 0.351
0.845 0.993 0.649
0.845 0.656 0.649
0.500 0.318 0.000
0.155 0.007 0.351
0.500 0.682 0.000
0.000 0.000 0.000



The relative energies come out as P 0; Q 81, with values in meV per atom.



## P
Mg4AgAu (PBE, relaxed); space group = No. 12; density = 5.7 g/cm³; calculated volume = 19.390 Å³ per atom
1.0
3.289 0.000 0.951
1.878 5.097 -0.330
-0.287 -1.741 7.154
Mg Ag Au
4 1 1
Direct
0.833 0.511 0.823
0.320 0.028 0.331
0.167 0.489 0.177
0.680 0.972 0.669
0.000 0.000 0.000
0.500 0.500 0.500



## Q
Mg4AgAu (PBE, relaxed); space group = No. 216; density = 5.5 g/cm³; calculated volume = 20.183 Å³ per atom
1.0
-3.207 -4.453 0.851
-5.131 -0.172 -2.117
-1.154 -3.435 -4.208
Mg Ag Au
4 1 1
Direct
0.876 0.375 0.375
0.375 0.375 0.876
0.375 0.876 0.375
0.375 0.375 0.375
0.750 0.750 0.750
0.000 0.000 0.000



The relative energies come out as P 0; Q 355, with values in meV per atom.



## P
Mg4Ag7Au (PBE, relaxed); space group = No. 12; density = 7.1 g/cm³; calculated volume = 20.307 Å³ per atom
1.0
5.140 0.000 0.000
2.570 8.993 -0.215
2.570 0.260 5.265
Mg Ag Au
4 7 1
Direct
0.614 0.222 0.550
0.386 0.778 0.450
0.779 0.656 0.785
0.221 0.344 0.215
0.789 0.918 0.504
0.211 0.082 0.496
0.068 0.677 0.187
0.932 0.323 0.813
0.368 0.504 0.761
0.500 0.000 0.000
0.632 0.496 0.239
0.000 0.000 0.000



## Q
Mg4Ag7Au (PBE, relaxed); space group = No. 2; density = 7.9 g/cm³; calculated volume = 18.281 Å³ per atom
1.0
-4.739 -3.270 -0.646
-3.703 -1.537 5.460
-2.649 6.106 0.655
Mg Ag Au
4 7 1
Direct
0.500 0.659 0.316
0.500 0.341 0.684
0.781 0.817 0.683
0.219 0.183 0.317
0.747 0.504 0.993
0.253 0.496 0.007
0.999 0.334 0.662
0.001 0.666 0.338
0.264 0.837 0.656
0.500 0.000 0.000
0.736 0.163 0.344
0.000 0.000 0.000



The relative energies come out as P 172; Q 0, with values in meV per atom.